Entry from the Alexandria database: an optimized crystal structure of KSnOsSe2 (PBE-GGA).

Computed properties:
- Crystal system: tetragonal
- Formation energy from raw total energies: 0.726 eV per atom

abc: 5.518 5.518 5.134
angles: 90.00 90.00 90.00
Space group P4/mmm (No. 123)
Asymmetric unit:
K 0.000 0.000 0.000 [1 per cell]
Sn 0.500 0.500 0.500 [1 per cell]
Os 0.500 0.500 0.000 [1 per cell]
Se 0.000 0.500 0.500 [2 per cell]